The following is a DFT calculation (PBE with a Hubbard U) of an optimized crystal structure of Li4Mn3O7.

abc: 10.401 10.401 5.270
angles: 84.16 84.16 150.31
Positions (direct):
Li (0.000, 0.000, 0.500)
Li (0.859, 0.141, 0.500)
Li (0.284, 0.716, 0.500)
Li (0.431, 0.569, 0.500)
Li (0.716, 0.284, 0.500)
Li (0.141, 0.859, 0.500)
Li (0.569, 0.431, 0.500)
Li (0.500, 0.500, 0.000)
O (0.939, 0.509, 0.767)
O (0.367, 0.085, 0.765)
O (0.219, 0.219, 0.763)
O (0.915, 0.633, 0.235)
O (0.509, 0.939, 0.767)
O (0.781, 0.781, 0.237)
O (0.838, 0.689, 0.791)
O (0.633, 0.915, 0.235)
O (0.085, 0.367, 0.765)
O (0.491, 0.061, 0.233)
O (0.689, 0.838, 0.791)
O (0.061, 0.491, 0.233)
O (0.311, 0.162, 0.209)
O (0.162, 0.311, 0.209)
Mn (0.359, 0.641, 0.000)
Mn (0.929, 0.071, 0.000)
Mn (0.071, 0.929, 0.000)
Mn (0.641, 0.359, 0.000)
Mn (0.786, 0.214, 0.000)
Mn (0.214, 0.786, 0.000)

Output
Energy above the most stable polymorph in this dataset: 0.003 eV/atom
Calculated total energy: -6.42 eV/atom
Symmetry: C2/m, No. 12